1.
A plane-wave DFT calculation with PBE was carried out for an optimized crystal structure of NdNb6Se8.

abc: 9.5052 9.5052 12.5816
angles: 90.00 90.00 120.00
Space group R-3 (No. 148, hexagonal axes)
Unique sites:
Nd: 0.0000 0.0000 0.0000 (multiplicity 3)
Nb: 0.0219 0.8395 0.3922 (multiplicity 18)
Se: 0.0000 0.0000 0.2331 (multiplicity 6)
Se: 0.0062 0.3716 0.7606 (multiplicity 18)

total magnetization	0.0	Bohr magnetons per cell
uncorrected formation energy	-0.870	eV per atom
volume	21.88	Å³/atom
crystal system	trigonal

2.
A plane-wave DFT calculation with PBE was carried out for an optimized crystal structure of NdNb4Se8.

abc: 7.1198 7.1198 21.5964
angles: 90.00 90.00 120.00
Space group R-3m (No. 166, hexagonal axes)
Unique sites:
Nd: 0.0000 0.0000 0.0000 (multiplicity 3)
Nb: 0.0000 0.0000 0.5000 (multiplicity 3)
Nb: 0.0000 0.5000 0.5000 (multiplicity 9)
Se: 0.0000 0.0000 0.2430 (multiplicity 6)
Se: 0.0113 0.5057 0.2438 (multiplicity 18)

total magnetization	0.0	Bohr magnetons per cell
uncorrected formation energy	-0.952	eV per atom
volume	24.31	Å³/atom
crystal system	trigonal

3.
A plane-wave DFT calculation with PBE was carried out for an optimized crystal structure of Nd2Nb3Si4.

abc: 7.162 7.175 7.028
angles: 90.00 108.76 90.00
Space group P2_1/c (No. 14)
Unique sites:
Nd: 0.186 0.168 0.065 (multiplicity 4)
Nb: 0.260 0.674 0.248 (multiplicity 4)
Nb: 0.500 0.000 0.500 (multiplicity 2)
Si: 0.088 0.541 0.874 (multiplicity 4)
Si: 0.497 0.125 0.872 (multiplicity 4)

total magnetization	0.0	Bohr magnetons per cell
uncorrected formation energy	-0.742	eV per atom
volume	19.00	Å³/atom
crystal system	monoclinic